# 1
The following is a DFT calculation (GGA-PBE) of a relaxed SbHSI2 crystal.

a b c (Å): 5.9185 5.9185 5.0878
angles (deg): 90.00 90.00 90.00
Closest atoms and distances in Å follow each position.
Space group P4/mmm (No. 123)
Symmetry-distinct sites (fractional):
Sb  0.0000  0.0000  0.0000 x1  2 S 2.54
H  0.5000  0.5000  0.0000 x1  8 I 3.90, 4 Sb 4.19
S  0.0000  0.0000  0.5000 x1  2 Sb 2.54
I  0.0000  0.5000  0.5000 x2  2 S 2.96

Values from the calculation:
Excess energy over the best structure of this formula in the dataset (eV per formula unit): 0.64


# 2
The following is a DFT calculation (GGA-PBE) of a relaxed Ni2CS crystal.

a b c (Å): 5.7756 2.9514 5.8984
angles (deg): 90.00 114.35 90.00
Closest atoms and distances in Å follow each position.
Space group Pm (No. 6)
Symmetry-distinct sites (fractional):
Ni  0.0000  0.0000  0.0000 x1  2 C 1.97
Ni  0.0052  0.0000  0.4839 x1  2 C 2.06
Ni  0.3602  0.5000  0.0098 x1  1 C 1.87
Ni  0.4673  0.0000  0.6769 x1  2 C 2.00
C  0.1894  0.5000  0.2194 x1  1 C 1.38
C  0.2477  0.5000  0.4712 x1  1 C 1.38
S  0.6542  0.0000  0.1086 x1  5 Ni 2.14-2.34
S  0.8115  0.5000  0.6666 x1  6 Ni 2.34-2.50

Values from the calculation:
Formation energy (no corrections) (kJ per mole of atoms): 18.2
Excess energy over the best structure of this formula in the dataset (eV per formula unit): 0.29


# 3
The following is a DFT calculation (GGA-PBE) of a relaxed NaMg2Ru crystal.

a b c (Å): 4.2160 4.2160 18.8334
angles (deg): 90.00 90.00 90.00
Closest atoms and distances in Å follow each position.
Space group I-42d (No. 122)
Symmetry-distinct sites (fractional):
Na  0.0000  0.0000  0.0000 x4  4 Mg 2.84, 4 Ru 2.98
Mg  0.2182  0.2500  0.6250 x8  2 Ru 2.74, 2 Mg 2.80, 2 Na 2.84
Ru  0.0000  0.0000  0.5000 x4  4 Mg 2.74, 4 Na 2.98

Values from the calculation:
Excess energy over the best structure of this formula in the dataset (eV per formula unit): 2.33
Energy of formation (eV/f.u.): 2.744


# 4
The following is a DFT calculation (GGA-PBE) of a relaxed SrRuSe crystal.

a b c (Å): 4.2245 4.2245 4.5626
angles (deg): 90.00 90.00 120.00
Closest atoms and distances in Å follow each position.
Space group P-6m2 (No. 187)
Symmetry-distinct sites (fractional):
Sr  0.0000  0.0000  0.0000 x1  6 Se 3.34, 6 Ru 3.34
Ru  0.6667  0.3333  0.5000 x1  3 Se 2.44
Se  0.3333  0.6667  0.5000 x1  3 Ru 2.44

Values from the calculation:
Formation energy (no corrections) (kJ per mole of atoms): -49.5
Excess energy over the best structure of this formula in the dataset (eV per formula unit): 0.00


# 5
The following is a DFT calculation (GGA-PBE) of a relaxed LiGaS2 crystal.

a b c (Å): 9.2807 11.2853 12.2803
angles (deg): 90.00 90.80 90.00
Closest atoms and distances in Å follow each position.
Space group C2/c (No. 15)
Symmetry-distinct sites (fractional):
Li  0.0230  0.1054  0.3918 x8  5 S 2.47-2.74
Li  0.1542  0.3911  0.1215 x8  4 S 2.44-2.62
Ga  0.1365  0.1624  0.6387 x8  4 S 2.27-2.33
Ga  0.1469  0.3831  0.8498 x8  4 S 2.28-2.33
S  0.0000  0.0492  0.7500 x4  2 Ga 2.27, 2 Li 2.47
S  0.0000  0.4947  0.2500 x4  2 Ga 2.28, 2 Li 2.44
S  0.0101  0.2774  0.9713 x8  2 Ga 2.30-2.31
S  0.2029  0.2283  0.2587 x8  2 Ga 2.30-2.31, 1 Li 2.53
S  0.2130  0.0018  0.5352 x8  2 Ga 2.33

Values from the calculation:
Formation energy (no corrections) (kJ per mole of atoms): -90.1


# 6
The following is a DFT calculation (GGA-PBE) of a relaxed Ba2SrCd2Sn2 crystal.

a b c (Å): 5.1360 5.1360 31.4524
angles (deg): 90.00 90.00 120.00
Closest atoms and distances in Å follow each position.
Space group R-3m (No. 166, hexagonal axes)
Symmetry-distinct sites (fractional):
Ba  0.0000  0.0000  0.1327 x6  3 Cd 3.50, 3 Sn 3.60, 3 Ba 3.65
Sr  0.0000  0.0000  0.0000 x3  6 Sn 3.66, 6 Cd 3.76
Cd  0.0000  0.0000  0.4068 x6  3 Sn 2.97
Sn  0.0000  0.0000  0.2654 x6  3 Cd 2.97

Values from the calculation:
Energy of formation (eV/f.u.): -2.934


# 7
The following is a DFT calculation (GGA-PBE) of a relaxed La2TiIrBr crystal.

a b c (Å): 5.4603 5.4603 4.5961
angles (deg): 90.00 90.00 90.00
Closest atoms and distances in Å follow each position.
Space group P4/mmm (No. 123)
Symmetry-distinct sites (fractional):
La  0.0000  0.5000  0.0000 x2  2 Ti 2.73
Ti  0.0000  0.0000  0.0000 x1  2 Br 2.30
Ir  0.5000  0.5000  0.5000 x1  8 La 3.57, 4 Br 3.86
Br  0.0000  0.0000  0.5000 x1  2 Ti 2.30

Values from the calculation:
Formation energy (no corrections) (kJ per mole of atoms): 43.7


Number 1: N(E_F) 0.4534 states/eV/atom, total magnetic moment 0.99 Bohr magnetons per cell. Number 2: N(E_F) 0.5359 states/eV/atom, total magnetic moment 0.00 Bohr magnetons per cell. Number 3: N(E_F) 0.5382 states/eV/atom, total magnetic moment 0.00 Bohr magnetons per cell. Number 4: N(E_F) 1.4527 states/eV/atom, total magnetic moment 0.01 Bohr magnetons per cell. Number 5: N(E_F) 0.0000 states/eV/atom, total magnetic moment 0.00 Bohr magnetons per cell. Number 6: N(E_F) 0.3469 states/eV/atom, total magnetic moment 0.00 Bohr magnetons per cell. Number 7: N(E_F) 1.1450 states/eV/atom, total magnetic moment 0.00 Bohr magnetons per cell.